! LiPbCl2 (PBE, relaxed); values from VASP
! - E_form (uncorrected): -1.1189 eV/atom
! - Space-group type: P4mm (99)
! - DOS at the Fermi energy: 1.2 states/eV/f.u.
! - V: 98 Å³/cell
! - Offset from the most stable computed form: 81.9 meV per atom
! - Total energy: -13.79 eV for the cell shown
&SYSTEM
  ibrav = 0, nat = 4, ntyp = 3
/
ATOMIC_SPECIES
Cl 35.45 Cl.upf
Li 6.94 Li.upf
Pb 207.20 Pb.upf
CELL_PARAMETERS angstrom
-0.1649 3.4238 0.5511
-1.9333 0.3673 -2.8602
-6.7130 -1.0323 4.4051
ATOMIC_POSITIONS crystal
Cl 0.0000 0.0000 0.0215
Cl 0.5000 0.5000 0.4005
Li 0.0000 0.0000 0.3109
Pb 0.5000 0.5000 0.7671